Density functional theory data (GGA-PBE) for a relaxed structure of ScBeB3.

Unit cell a=3.662 b=3.662 c=3.662 alpha=90.00 beta=90.00 gamma=90.00
Space group Pm-3m (No. 221)
One atom of each set of equivalent atoms:
Sc: 0.000 0.000 0.000
Be: 0.500 0.500 0.500
B: 0.000 0.500 0.500

Results
density of states at the Fermi level = 1.34 states/eV per cell
final energy = -5.295 eV per atom
energy of formation = 0.723 eV/atom
mass density = 2.922 Mg/m³

***

Density functional theory data (GGA-PBE) for a relaxed structure of ScBeB.

Unit cell a=3.259 b=14.663 c=3.281 alpha=90.00 beta=90.00 gamma=90.00
Space group Cmcm (No. 63)
One atom of each set of equivalent atoms:
Sc: 0.000 0.111 0.250
Be: 0.000 0.250 0.750
B: 0.000 0.327 0.250

Results
density of states at the Fermi level = 3.73 states/eV per cell
final energy = -5.834 eV per atom
energy of formation = -0.256 eV/atom
mass density = 2.744 Mg/m³

***

Density functional theory data (GGA-PBE) for a relaxed structure of ScBeB2.

Unit cell a=3.654 b=3.654 c=12.743 alpha=90.00 beta=90.00 gamma=90.00
Space group I4_1/amd (No. 141, origin choice 2)
One atom of each set of equivalent atoms:
Sc: 0.000 0.250 0.375
Be: 0.000 0.250 0.875
B: 0.000 0.000 0.000

Results
density of states at the Fermi level = 5.06 states/eV per cell
final energy = -6.015 eV per atom
energy of formation = -0.161 eV/atom
mass density = 2.951 Mg/m³

***

Density functional theory data (GGA-PBE) for a relaxed structure of ScTi2BeB.

Unit cell a=4.512 b=4.512 c=3.589 alpha=90.00 beta=90.00 gamma=90.00
Space group P4/mmm (No. 123)
One atom of each set of equivalent atoms:
Sc: 0.000 0.000 0.000
Ti: 0.000 0.500 0.500
Be: 0.500 0.500 0.500
B: 0.500 0.500 0.000

Results
density of states at the Fermi level = 5.46 states/eV per cell
final energy = -6.083 eV per atom
energy of formation = 0.422 eV/atom
mass density = 3.648 Mg/m³

***

Density functional theory data (GGA-PBE) for a relaxed structure of Sc2TiBeB.

Unit cell a=4.599 b=4.599 c=4.227 alpha=90.00 beta=90.00 gamma=90.00
Space group P4/mmm (No. 123)
One atom of each set of equivalent atoms:
Sc: 0.000 0.500 0.000
Ti: 0.000 0.000 0.500
Be: 0.500 0.500 0.500
B: 0.000 0.000 0.000

Results
density of states at the Fermi level = 3.43 states/eV per cell
final energy = -6.109 eV per atom
energy of formation = 0.084 eV/atom
mass density = 2.928 Mg/m³

***

Density functional theory data (GGA-PBE) for a relaxed structure of ZrScBe2B.

Unit cell a=4.471 b=4.471 c=4.863 alpha=90.00 beta=90.00 gamma=90.00
Space group P4/mmm (No. 123)
One atom of each set of equivalent atoms:
Zr: 0.000 0.000 0.000
Sc: 0.000 0.000 0.500
Be: 0.000 0.500 0.500
B: 0.500 0.500 0.000

Results
density of states at the Fermi level = 4.54 states/eV per cell
final energy = -3.593 eV per atom
energy of formation = 2.209 eV/atom
mass density = 2.819 Mg/m³

***

Density functional theory data (GGA-PBE) for a relaxed structure of BeBSe3.

Unit cell a=4.431 b=4.431 c=4.431 alpha=90.00 beta=90.00 gamma=90.00
Space group Pm-3m (No. 221)
One atom of each set of equivalent atoms:
Be: 0.000 0.000 0.000
B: 0.500 0.500 0.500
Se: 0.000 0.500 0.500

Results
density of states at the Fermi level = 2.61 states/eV per cell
final energy = -3.214 eV per atom
mass density = 4.900 Mg/m³

***

Density functional theory data (GGA-PBE) for a relaxed structure of BeB3Se.

Unit cell a=4.089 b=4.089 c=4.089 alpha=90.00 beta=90.00 gamma=90.00
Space group Pm-3m (No. 221)
One atom of each set of equivalent atoms:
Be: 0.000 0.000 0.000
B: 0.000 0.500 0.500
Se: 0.500 0.500 0.500

Results
density of states at the Fermi level = 2.41 states/eV per cell
final energy = -3.161 eV per atom
mass density = 2.924 Mg/m³

***

What did the fourth record say?
Density functional theory data (GGA-PBE) for a relaxed structure of ScTi2BeB.

Unit cell a=4.512 b=4.512 c=3.589 alpha=90.00 beta=90.00 gamma=90.00
Space group P4/mmm (No. 123)
One atom of each set of equivalent atoms:
Sc: 0.000 0.000 0.000
Ti: 0.000 0.500 0.500
Be: 0.500 0.500 0.500
B: 0.500 0.500 0.000

Results
density of states at the Fermi level = 5.46 states/eV per cell
final energy = -6.083 eV per atom
energy of formation = 0.422 eV/atom
mass density = 3.648 Mg/m³

***

- Among the records above, which one has the highest final energy?
  BeB3Se

***

- Which of these has the highest final energy?
  BeB3Se